# MnBO3, optimized geometry, DFT GGA+U
data_MnBO3
_chemical_formula_sum 'Mn4 B4 O12'
_symmetry_space_group_name_H-M 'C m c m'
_symmetry_Int_Tables_number 63
_symmetry_space_group_name_Hall '-C 2c 2'
_cell_length_a 3.162
_cell_length_b 8.441
_cell_length_c 7.495
_cell_angle_alpha 90.00
_cell_angle_beta 90.00
_cell_angle_gamma 90.00
loop_
_atom_site_label
_atom_site_fract_x
_atom_site_fract_y
_atom_site_fract_z
Mn1 0.000 0.000 0.000
B1 0.000 0.284 0.250
O1 0.000 0.123 0.250
O2 0.000 0.367 0.089
# Raw total energy = -154.5 eV/cell